Computed, not measured: a relaxed structure of Li3BiPb2 at the GGA-PBE level of DFT.

extended XYZ file:
```
6
Lattice="3.528 0.000 0.000 0.000 3.528 0.000 0.000 0.000 11.063" Properties=species:S:1:pos:R:3 pbc="T T T"
Li 0.000 0.000 0.000
Li 0.000 0.000 3.600
Li 0.000 0.000 7.463
Bi 1.764 1.764 5.531
Pb 1.764 1.764 1.779
Pb 1.764 1.764 9.284
```

Computed properties:
**Space group**: No. 123
**DFT formation energy**: -0.301 eV per atom
**Final energy**: -3.14 eV/atom
**Magnetic moment**: 0.00 μB per atom

---

Computed, not measured: a relaxed structure of LiBi2Pb at the GGA-PBE level of DFT.

extended XYZ file:
```
8
Lattice="-2.366 2.366 11.082 2.366 -2.366 11.082 2.366 2.366 -11.082" Properties=species:S:1:pos:R:3 pbc="T T T"
Li 0.000 0.000 0.000
Li 0.000 2.366 5.541
Bi 3.549 1.077 -2.771
Bi 1.077 1.183 2.771
Bi -1.183 1.289 8.312
Bi 1.289 1.183 13.853
Pb 2.366 0.000 5.541
Pb 0.000 0.000 11.082
```

Computed properties:
**Space group**: No. 122
**DFT formation energy**: -0.057 eV per atom
**Final energy**: -3.40 eV/atom
**Magnetic moment**: 0.00 μB per atom

---

Computed, not measured: a relaxed structure of Li2Bi3Pb2 at the GGA-PBE level of DFT.

extended XYZ file:
```
7
Lattice="4.971 0.000 0.000 -0.807 5.837 0.000 -0.839 -1.707 7.016" Properties=species:S:1:pos:R:3 pbc="T T T"
Li 0.392 1.636 2.862
Li 2.933 2.495 4.153
Bi 0.470 2.684 5.827
Bi 2.066 -0.853 3.508
Bi 2.855 1.447 1.189
Pb -0.561 -0.383 5.772
Pb 3.886 4.514 1.244
```

Computed properties:
**Space group**: No. 2
**DFT formation energy**: -0.134 eV per atom
**Final energy**: -3.40 eV/atom
**Magnetic moment**: 0.00 μB per atom

---

Computed, not measured: a relaxed structure of LiBiPdPb2 at the GGA-PBE level of DFT.

extended XYZ file:
```
5
Lattice="-2.217 2.387 6.380 2.217 -2.387 6.380 2.217 2.387 -6.380" Properties=species:S:1:pos:R:3 pbc="T T T"
Li 0.000 0.000 0.000
Bi 0.000 0.000 2.898
Pd 0.000 2.387 1.407
Pb 0.000 0.000 6.127
Pb 0.000 0.000 9.834
```

Computed properties:
**Space group**: No. 44
**DFT formation energy**: -0.148 eV per atom
**Final energy**: -3.83 eV/atom
**ΔE to the lowest computed polymorph**: 0 meV per atom
**Magnetic moment**: 0.00 μB per atom

---

Computed, not measured: a relaxed structure of LiBi2PdPb at the GGA-PBE level of DFT.

extended XYZ file:
```
5
Lattice="5.878 0.000 0.000 0.000 5.878 0.000 0.000 0.000 4.887" Properties=species:S:1:pos:R:3 pbc="T T T"
Li 0.000 0.000 0.000
Bi 0.000 2.939 2.444
Bi 2.939 0.000 2.444
Pd 2.939 2.939 0.000
Pb 0.000 0.000 2.444
```

Computed properties:
**Space group**: No. 123
**DFT formation energy**: 0.769 eV per atom
**Final energy**: -2.95 eV/atom
**Magnetic moment**: 0.00 μB per atom

---

Computed, not measured: a relaxed structure of LiBiPdPb at the GGA-PBE level of DFT.

extended XYZ file:
```
4
Lattice="0.000 3.525 3.525 3.525 0.000 3.525 3.525 3.525 0.000" Properties=species:S:1:pos:R:3 pbc="T T T"
Li 0.000 0.000 0.000
Bi 1.763 1.763 1.763
Pd 3.525 3.525 3.525
Pb 5.288 5.288 5.288
```

Computed properties:
**Space group**: No. 216
**DFT formation energy**: -0.299 eV per atom
**Final energy**: -3.97 eV/atom
**Magnetic moment**: 0.00 μB per atom

---

Q: Which value of final energy does entry 2 give?
A: -3.40 eV/atom